The following is a DFT calculation (PBE) of an optimized crystal structure of Nd5Sm3Ho4.

The structure in CIF format:
```
data_Nd5Sm3Ho4
_cell_length_a 8.685
_cell_length_b 8.685
_cell_length_c 9.356
_cell_angle_alpha 114.58
_cell_angle_beta 114.58
_cell_angle_gamma 40.32
_symmetry_space_group_name_H-M 'P 1'
_symmetry_Int_Tables_number 1
_symmetry_space_group_name_Hall 'P 1'
loop_
_atom_site_label
_atom_site_fract_x
_atom_site_fract_y
_atom_site_fract_z
Nd1 0.000 0.000 0.000
Nd2 0.326 0.326 0.614
Nd3 0.423 0.423 0.300
Nd4 0.577 0.577 0.700
Nd5 0.674 0.674 0.386
Sm1 0.208 0.208 0.228
Sm2 0.500 0.500 0.000
Sm3 0.792 0.792 0.772
Ho1 0.081 0.081 0.441
Ho2 0.214 0.214 0.878
Ho3 0.786 0.786 0.122
Ho4 0.919 0.919 0.559
```

Relative energy among the computed polymorphs, meV/atom: 203
Energy of formation, eV per atom: 0.22
Space group: C2/m (12)
Calculated volume, A^3/atom: 34.1

The following is a DFT calculation (PBE) of an optimized crystal structure of Nd4Sm3Ho4.

The structure in CIF format:
```
data_Nd4Sm3Ho4
_cell_length_a 12.150
_cell_length_b 12.150
_cell_length_c 12.150
_cell_angle_alpha 162.93
_cell_angle_beta 134.09
_cell_angle_gamma 49.33
_symmetry_space_group_name_H-M 'P 1'
_symmetry_Int_Tables_number 1
_symmetry_space_group_name_Hall 'P 1'
loop_
_atom_site_label
_atom_site_fract_x
_atom_site_fract_y
_atom_site_fract_z
Nd1 0.032 0.854 0.178
Nd2 0.324 0.146 0.178
Nd3 0.676 0.854 0.822
Nd4 0.968 0.146 0.822
Sm1 0.000 0.500 0.500
Sm2 0.392 0.392 0.000
Sm3 0.608 0.608 0.000
Ho1 0.260 0.760 0.500
Ho2 0.318 0.000 0.318
Ho3 0.682 0.000 0.682
Ho4 0.740 0.240 0.500
```

Relative energy among the computed polymorphs, meV/atom: 0
Energy of formation, eV per atom: 0.13
Space group: Immm (71)
Calculated volume, A^3/atom: 34.3

The following is a DFT calculation (PBE) of an optimized crystal structure of Nd5Sm3Ho3.

The structure in CIF format:
```
data_Nd5Sm3Ho3
_cell_length_a 11.358
_cell_length_b 11.358
_cell_length_c 3.465
_cell_angle_alpha 90.00
_cell_angle_beta 90.00
_cell_angle_gamma 120.00
_symmetry_space_group_name_H-M 'P 1'
_symmetry_Int_Tables_number 1
_symmetry_space_group_name_Hall 'P 1'
loop_
_atom_site_label
_atom_site_fract_x
_atom_site_fract_y
_atom_site_fract_z
Nd1 0.000 0.662 0.000
Nd2 0.333 0.667 0.000
Nd3 0.338 0.338 0.000
Nd4 0.662 0.000 0.000
Nd5 0.667 0.333 0.000
Sm1 0.000 0.403 0.500
Sm2 0.403 0.000 0.500
Sm3 0.597 0.597 0.500
Ho1 0.000 0.159 0.000
Ho2 0.159 0.000 0.000
Ho3 0.841 0.841 0.000
```

Relative energy among the computed polymorphs, meV/atom: 0
Energy of formation, eV per atom: 0.31
Space group: P-62m (189)
Calculated volume, A^3/atom: 35.2

The following is a DFT calculation (PBE) of an optimized crystal structure of Nd3Sm2Ho4.

The structure in CIF format:
```
data_Nd3Sm2Ho4
_cell_length_a 9.053
_cell_length_b 9.053
_cell_length_c 6.631
_cell_angle_alpha 110.38
_cell_angle_beta 110.38
_cell_angle_gamma 36.47
_symmetry_space_group_name_H-M 'P 1'
_symmetry_Int_Tables_number 1
_symmetry_space_group_name_Hall 'P 1'
loop_
_atom_site_label
_atom_site_fract_x
_atom_site_fract_y
_atom_site_fract_z
Nd1 0.000 0.000 0.000
Nd2 0.136 0.136 0.581
Nd3 0.864 0.864 0.419
Sm1 0.363 0.363 0.701
Sm2 0.637 0.637 0.299
Ho1 0.222 0.222 0.143
Ho2 0.429 0.429 0.245
Ho3 0.571 0.571 0.755
Ho4 0.778 0.778 0.857
```

Relative energy among the computed polymorphs, meV/atom: 0
Energy of formation, eV per atom: 0.09
Space group: C2/m (12)
Calculated volume, A^3/atom: 33.4

The following is a DFT calculation (PBE) of an optimized crystal structure of NdSm12Ho3.

The structure in CIF format:
```
data_NdSm12Ho3
_cell_length_a 5.107
_cell_length_b 5.107
_cell_length_c 20.405
_cell_angle_alpha 90.00
_cell_angle_beta 90.00
_cell_angle_gamma 90.00
_symmetry_space_group_name_H-M 'P 1'
_symmetry_Int_Tables_number 1
_symmetry_space_group_name_Hall 'P 1'
loop_
_atom_site_label
_atom_site_fract_x
_atom_site_fract_y
_atom_site_fract_z
Nd1 0.000 0.000 0.000
Sm1 0.000 0.500 0.127
Sm2 0.000 0.500 0.376
Sm3 0.000 0.500 0.624
Sm4 0.000 0.500 0.873
Sm5 0.500 0.000 0.127
Sm6 0.500 0.000 0.376
Sm7 0.500 0.000 0.624
Sm8 0.500 0.000 0.873
Sm9 0.500 0.500 0.000
Sm10 0.500 0.500 0.252
Sm11 0.500 0.500 0.500
Sm12 0.500 0.500 0.748
Ho1 0.000 0.000 0.251
Ho2 0.000 0.000 0.500
Ho3 0.000 0.000 0.749
```

Energy of formation, eV per atom: 0.02
Space group: P4/mmm (123)
Calculated volume, A^3/atom: 33.3

The following is a DFT calculation (PBE) of an optimized crystal structure of Nd12Sm5Ho.

The structure in CIF format:
```
data_Nd12Sm5Ho
_cell_length_a 10.965
_cell_length_b 5.175
_cell_length_c 10.976
_cell_angle_alpha 90.00
_cell_angle_beta 90.01
_cell_angle_gamma 90.00
_symmetry_space_group_name_H-M 'P 1'
_symmetry_Int_Tables_number 1
_symmetry_space_group_name_Hall 'P 1'
loop_
_atom_site_label
_atom_site_fract_x
_atom_site_fract_y
_atom_site_fract_z
Nd1 0.001 0.000 0.332
Nd2 0.165 0.500 0.835
Nd3 0.167 0.500 0.499
Nd4 0.332 0.000 0.001
Nd5 0.334 0.000 0.666
Nd6 0.499 0.500 0.167
Nd7 0.501 0.500 0.833
Nd8 0.666 0.000 0.334
Nd9 0.668 0.000 0.999
Nd10 0.833 0.500 0.501
Nd11 0.835 0.500 0.165
Nd12 0.999 0.000 0.668
Sm1 0.166 0.500 0.166
Sm2 0.333 0.000 0.333
Sm3 0.500 0.500 0.500
Sm4 0.667 0.000 0.667
Sm5 0.834 0.500 0.834
Ho1 0.000 0.000 0.000
```

Energy of formation, eV per atom: 0.01
Space group: P2/m (10)
Calculated volume, A^3/atom: 34.6

The following is a DFT calculation (PBE) of an optimized crystal structure of Nd4Sm3Ho4.

The structure in CIF format:
```
data_Nd4Sm3Ho4
_cell_length_a 10.740
_cell_length_b 6.696
_cell_length_c 6.696
_cell_angle_alpha 50.78
_cell_angle_beta 90.00
_cell_angle_gamma 90.00
_symmetry_space_group_name_H-M 'P 1'
_symmetry_Int_Tables_number 1
_symmetry_space_group_name_Hall 'P 1'
loop_
_atom_site_label
_atom_site_fract_x
_atom_site_fract_y
_atom_site_fract_z
Nd1 0.000 0.000 0.000
Nd2 0.210 0.793 0.793
Nd3 0.500 0.922 0.922
Nd4 0.790 0.793 0.793
Sm1 0.000 0.293 0.293
Sm2 0.290 0.450 0.450
Sm3 0.710 0.450 0.450
Ho1 0.000 0.594 0.594
Ho2 0.303 0.144 0.144
Ho3 0.500 0.650 0.650
Ho4 0.697 0.144 0.144
```

Relative energy among the computed polymorphs, meV/atom: 24
Energy of formation, eV per atom: 0.15
Space group: Amm2 (38)
Calculated volume, A^3/atom: 33.9

The following is a DFT calculation (PBE) of an optimized crystal structure of Nd3Sm2Ho6.

The structure in CIF format:
```
data_Nd3Sm2Ho6
_cell_length_a 6.183
_cell_length_b 6.183
_cell_length_c 11.659
_cell_angle_alpha 95.11
_cell_angle_beta 95.11
_cell_angle_gamma 120.11
_symmetry_space_group_name_H-M 'P 1'
_symmetry_Int_Tables_number 1
_symmetry_space_group_name_Hall 'P 1'
loop_
_atom_site_label
_atom_site_fract_x
_atom_site_fract_y
_atom_site_fract_z
Nd1 0.000 0.000 0.000
Nd2 0.336 0.664 0.000
Nd3 0.664 0.336 0.000
Sm1 0.166 0.834 0.500
Sm2 0.834 0.166 0.500
Ho1 0.084 0.417 0.252
Ho2 0.250 0.250 0.748
Ho3 0.417 0.084 0.252
Ho4 0.583 0.916 0.748
Ho5 0.750 0.750 0.252
Ho6 0.916 0.583 0.748
```

Relative energy among the computed polymorphs, meV/atom: 0
Energy of formation, eV per atom: 0.19
Space group: C2/m (12)
Calculated volume, A^3/atom: 34.5

The following is a DFT calculation (PBE) of an optimized crystal structure of Nd4SmHo10.

The structure in CIF format:
```
data_Nd4SmHo10
_cell_length_a 9.464
_cell_length_b 9.464
_cell_length_c 9.464
_cell_angle_alpha 99.59
_cell_angle_beta 99.59
_cell_angle_gamma 131.82
_symmetry_space_group_name_H-M 'P 1'
_symmetry_Int_Tables_number 1
_symmetry_space_group_name_Hall 'P 1'
loop_
_atom_site_label
_atom_site_fract_x
_atom_site_fract_y
_atom_site_fract_z
Nd1 0.101 0.701 0.802
Nd2 0.299 0.101 0.400
Nd3 0.701 0.899 0.600
Nd4 0.899 0.299 0.198
Sm1 0.500 0.500 0.000
Ho1 0.052 0.350 0.900
Ho2 0.152 0.052 0.702
Ho3 0.250 0.750 0.500
Ho4 0.350 0.450 0.298
Ho5 0.450 0.152 0.100
Ho6 0.550 0.848 0.900
Ho7 0.650 0.550 0.702
Ho8 0.750 0.250 0.500
Ho9 0.848 0.948 0.298
Ho10 0.948 0.650 0.100
```

Energy of formation, eV per atom: 0.76
Space group: I4/m (87)
Calculated volume, A^3/atom: 38.4

The following is a DFT calculation (PBE) of an optimized crystal structure of NdSm2Ho5.

The structure in CIF format:
```
data_NdSm2Ho5
_cell_length_a 9.557
_cell_length_b 9.557
_cell_length_c 6.475
_cell_angle_alpha 96.63
_cell_angle_beta 96.63
_cell_angle_gamma 62.36
_symmetry_space_group_name_H-M 'P 1'
_symmetry_Int_Tables_number 1
_symmetry_space_group_name_Hall 'P 1'
loop_
_atom_site_label
_atom_site_fract_x
_atom_site_fract_y
_atom_site_fract_z
Nd1 0.000 0.500 0.000
Nd2 0.500 0.000 0.500
Sm1 0.170 0.677 0.886
Sm2 0.323 0.830 0.614
Sm3 0.677 0.170 0.386
Sm4 0.830 0.323 0.114
Ho1 0.009 0.189 0.641
Ho2 0.189 0.009 0.141
Ho3 0.215 0.394 0.480
Ho4 0.394 0.215 0.980
Ho5 0.444 0.556 0.250
Ho6 0.556 0.444 0.750
Ho7 0.606 0.785 0.020
Ho8 0.785 0.606 0.520
Ho9 0.811 0.991 0.859
Ho10 0.991 0.811 0.359
```

Relative energy among the computed polymorphs, meV/atom: 155
Energy of formation, eV per atom: 0.17
Space group: C2/c (15)
Calculated volume, A^3/atom: 32.4

The following is a DFT calculation (PBE) of an optimized crystal structure of Nd4SmHo.

The structure in CIF format:
```
data_Nd4SmHo
_cell_length_a 8.152
_cell_length_b 8.152
_cell_length_c 5.159
_cell_angle_alpha 90.00
_cell_angle_beta 90.00
_cell_angle_gamma 143.04
_symmetry_space_group_name_H-M 'P 1'
_symmetry_Int_Tables_number 1
_symmetry_space_group_name_Hall 'P 1'
loop_
_atom_site_label
_atom_site_fract_x
_atom_site_fract_y
_atom_site_fract_z
Nd1 0.165 0.835 0.000
Nd2 0.334 0.666 0.500
Nd3 0.666 0.334 0.500
Nd4 0.835 0.165 0.000
Sm1 0.500 0.500 0.000
Ho1 0.000 0.000 0.500
```

Relative energy among the computed polymorphs, meV/atom: 0
Energy of formation, eV per atom: 0.02
Space group: Cmmm (65)
Calculated volume, A^3/atom: 34.4

The following is a DFT calculation (PBE) of an optimized crystal structure of Nd2Sm4Ho5.

The structure in CIF format:
```
data_Nd2Sm4Ho5
_cell_length_a 12.140
_cell_length_b 12.140
_cell_length_c 8.789
_cell_angle_alpha 96.54
_cell_angle_beta 96.54
_cell_angle_gamma 16.45
_symmetry_space_group_name_H-M 'P 1'
_symmetry_Int_Tables_number 1
_symmetry_space_group_name_Hall 'P 1'
loop_
_atom_site_label
_atom_site_fract_x
_atom_site_fract_y
_atom_site_fract_z
Nd1 0.090 0.090 0.241
Nd2 0.910 0.910 0.759
Sm1 0.046 0.046 0.858
Sm2 0.321 0.321 0.029
Sm3 0.679 0.679 0.971
Sm4 0.954 0.954 0.142
Ho1 0.142 0.142 0.618
Ho2 0.233 0.233 0.328
Ho3 0.500 0.500 0.500
Ho4 0.767 0.767 0.672
Ho5 0.858 0.858 0.382
```

Relative energy among the computed polymorphs, meV/atom: 0
Energy of formation, eV per atom: 0.15
Space group: C2/m (12)
Calculated volume, A^3/atom: 33.1

| no. | total DFT energy (no corrections) (eV/atom) |
| --- | --- |
| 1 | -4.474 |
| 2 | -4.558 |
| 3 | -4.389 |
| 4 | -4.579 |
| 5 | -4.679 |
| 6 | -4.730 |
| 7 | -4.534 |
| 8 | -4.463 |
| 9 | -3.874 |
| 10 | -4.464 |
| 11 | -4.712 |
| 12 | -4.517 |